DFT (PBE) results for a relaxed structure of YZn5Rh6.

CIF file:
```
data_YZn5Rh6
_chemical_formula_sum 'Y2 Zn10 Rh12'
_space_group_name_H-M_alt 'I m m m'
_space_group_IT_number 71
_space_group_name_Hall '-I 2 2'
_cell_length_a 4.372
_cell_length_b 6.232
_cell_length_c 13.052
_cell_angle_alpha 90.00
_cell_angle_beta 90.00
_cell_angle_gamma 90.00
loop_
_atom_site_label
_atom_site_type_symbol
_atom_site_fract_x
_atom_site_fract_y
_atom_site_fract_z
Y1 Y 0.000 0.000 0.000
Zn1 Zn 0.000 0.000 0.329
Zn2 Zn 0.000 0.500 0.000
Zn3 Zn 0.000 0.500 0.339
Rh1 Rh 0.000 0.226 0.500
Rh2 Rh 0.000 0.264 0.173
```

The density of states at the Fermi level is 16.82 states/eV/cell. The value obtained for the formation energy is -463 meV/atom. Its calculated density is 9.7 g cm⁻³.